The following is a DFT calculation (PBE) of an optimized crystal structure of Pr12DyY2.

For the raw total energy, the calculation gives -4.6805 eV/atom. The density of states at the Fermi level comes out at 35.94 states/eV per cell.

a b c (Å): 6.6342 6.6342 25.7322
angles (deg): 90.00 90.00 90.00
Space group P4/nbm (No. 125, origin choice 2)
Unique sites:
Pr1 0.0672 0.5672 0.1134 x8
Pr2 0.0818 0.5818 0.4374 x8
Pr3 0.2500 0.2500 0.2144 x4
Pr4 0.2500 0.2500 0.3370 x4
Dy1 0.2500 0.7500 0.0000 x2
Y1 0.2500 0.7500 0.2721 x4

***

The following is a DFT calculation (PBE) of an optimized crystal structure of Ho12Al2Tl5.

For the raw total energy, the calculation gives -4.0319 eV/atom. The density of states at the Fermi level comes out at 38.93 states/eV per cell.

a b c (Å): 17.1499 7.1144 9.0737
angles (deg): 90.00 97.26 90.00
Space group C2/m (No. 12)
Unique sites:
Ho1 0.0059 0.0000 0.1938 x4
Ho2 0.0354 0.5000 0.6877 x4
Ho3 0.1515 0.2468 0.0126 x8
Ho4 0.1574 0.2561 0.4278 x8
Al1 0.0000 0.1738 0.5000 x4
Tl1 0.0000 0.5000 0.0000 x2
Tl2 0.1982 0.0000 0.7353 x4
Tl3 0.2266 0.5000 0.7476 x4

***

The following is a DFT calculation (PBE) of an optimized crystal structure of Cs2CeH4.

For the raw total energy, the calculation gives -3.1558 eV/atom. The density of states at the Fermi level comes out at 18.11 states/eV per cell.

a b c (Å): 4.6491 4.6491 16.1490
angles (deg): 90.00 90.00 90.00
Space group I4/mmm (No. 139)
Unique sites:
Cs1 0.0000 0.0000 0.1545 x4
Ce1 0.0000 0.0000 0.5000 x2
H1 0.0000 0.0000 0.3518 x4
H2 0.0000 0.5000 0.0000 x4

***

The following is a DFT calculation (PBE) of an optimized crystal structure of SrCdFe2.

For the raw total energy, the calculation gives -4.4099 eV/atom. The density of states at the Fermi level comes out at 5.59 states/eV per cell.

a b c (Å): 3.1945 5.1379 10.0676
angles (deg): 90.00 90.00 90.00
Space group Imm2 (No. 44)
Unique sites:
Sr1 0.0000 0.0000 0.0000 x2
Cd1 0.0000 0.5000 0.7955 x2
Fe1 0.0000 0.0000 0.5444 x2
Fe2 0.0000 0.5000 0.2122 x2

***

The following is a DFT calculation (PBE) of an optimized crystal structure of Ho4TmBi2.

For the raw total energy, the calculation gives -4.0427 eV/atom. The density of states at the Fermi level comes out at 11.50 states/eV per cell.

a b c (Å): 5.2949 5.2949 16.6090
angles (deg): 90.00 90.00 90.00
Space group I4/mmm (No. 139)
Unique sites:
Ho1 0.0000 0.0000 0.1806 x4
Ho2 0.0000 0.5000 0.0000 x4
Tm1 0.0000 0.0000 0.0000 x2
Bi1 0.0000 0.0000 0.3652 x4

***

The following is a DFT calculation (PBE) of an optimized crystal structure of Ta3Al5.

For the raw total energy, the calculation gives -6.7738 eV/atom. The polymorph energy (0 for the lowest one) is 235 meV/atom. The density of states at the Fermi level comes out at 13.64 states/eV per cell.

a b c (Å): 5.1544 14.9644 7.5126
angles (deg): 90.00 109.91 90.00
Space group C2 (No. 5)
Unique sites:
Ta1 0.0000 0.0000 0.0000 x2
Ta2 0.0000 0.0402 0.5000 x2
Ta3 0.0000 0.5679 0.5000 x2
Ta4 0.0000 0.6090 0.0000 x2
Ta5 0.1923 0.3045 0.3767 x4
Al1 0.0931 0.1494 0.1942 x4
Al2 0.0931 0.4594 0.1938 x4
Al3 0.1622 0.7104 0.3108 x4
Al4 0.1621 0.8983 0.3103 x4
Al5 0.2484 0.3044 0.0001 x4

***

The following is a DFT calculation (PBE) of an optimized crystal structure of KCo2Cu.

For the raw total energy, the calculation gives -4.0004 eV/atom. The polymorph energy (0 for the lowest one) is 322 meV/atom. The density of states at the Fermi level comes out at 9.47 states/eV per cell.

a b c (Å): 2.6596 2.6596 29.0937
angles (deg): 90.00 90.00 120.00
Space group R-3m (No. 166, hexagonal axes)
Unique sites:
K1 0.0000 0.0000 0.0000 x3
Co1 0.0000 0.0000 0.2366 x6
Cu1 0.0000 0.0000 0.5000 x3

***

The following is a DFT calculation (PBE) of an optimized crystal structure of Cr3GaGe.

For the raw total energy, the calculation gives -6.1899 eV/atom. The density of states at the Fermi level comes out at 4.51 states/eV per cell.

a b c (Å): 4.5931 4.5931 4.5931
angles (deg): 90.00 90.00 90.00
Space group Pm-3m (No. 221)
Unique sites:
Cr1 0.0000 0.0000 0.5000 x3
Ga1 0.0000 0.0000 0.0000 x1
Ge1 0.5000 0.5000 0.5000 x1

***

The following is a DFT calculation (PBE) of an optimized crystal structure of BaPd2Pb.

For the raw total energy, the calculation gives -4.2889 eV/atom. The density of states at the Fermi level comes out at 23.51 states/eV per cell.

a b c (Å): 5.3371 5.3371 18.3759
angles (deg): 90.00 90.00 90.00
Space group I-42d (No. 122)
Unique sites:
Ba1 0.0000 0.0000 0.0000 x4
Pd1 0.0181 0.2500 0.6250 x8
Pb1 0.0000 0.0000 0.5000 x4

***

The following is a DFT calculation (PBE) of an optimized crystal structure of TiAlRe2.

For the raw total energy, the calculation gives -9.3428 eV/atom. The density of states at the Fermi level comes out at 3.97 states/eV per cell.

a b c (Å): 3.2385 3.2385 5.6908
angles (deg): 90.00 90.00 90.00
Space group P4/mmm (No. 123)
Unique sites:
Ti1 0.0000 0.0000 0.0000 x1
Al1 0.0000 0.0000 0.5000 x1
Re1 0.5000 0.5000 0.2616 x2

***

The following is a DFT calculation (PBE) of an optimized crystal structure of SiPPb.

For the raw total energy, the calculation gives -4.7724 eV/atom. The polymorph energy (0 for the lowest one) is 0 meV/atom. For the uncorrected formation energy, the calculation gives 0.07 eV per atom. The density of states at the Fermi level comes out at 0.53 states/eV per cell.

a b c (Å): 3.4745 3.4745 6.5746
angles (deg): 90.00 90.00 120.00
Space group P3m1 (No. 156)
Unique sites:
Si1 0.0000 0.0000 0.0000 x1
P1 0.6667 0.3333 0.8322 x1
Pb1 0.3333 0.6667 0.4063 x1

***

The following is a DFT calculation (PBE) of an optimized crystal structure of Sr4Eu2Ni.

For the raw total energy, the calculation gives -4.5667 eV/atom. The density of states at the Fermi level comes out at 11.25 states/eV per cell.

a b c (Å): 5.8033 5.8033 20.2939
angles (deg): 90.00 90.00 90.00
Space group I4/mmm (No. 139)
Unique sites:
Sr1 0.0000 0.0000 0.1436 x4
Sr2 0.0000 0.5000 0.0000 x4
Eu1 0.0000 0.0000 0.3391 x4
Ni1 0.0000 0.0000 0.0000 x2